[1]
Material: ScReSb2
Method: DFT, PBE
State: optimized geometry

Properties
Excess energy over the best structure of this formula in the dataset: 202 meV per atom

a = 3.417 Å, b = 4.381 Å, c = 5.691 Å
α = 90.00°, β = 98.70°, γ = 90.00°
Fractional positions:
Sc  0.000  0.000  0.000
Re  0.500  0.000  0.500
Sb  0.338  0.500  0.741
Sb  0.662  0.500  0.259


[2]
Material: ScReSb2Te
Method: DFT, PBE
State: optimized geometry

Properties
Excess energy over the best structure of this formula in the dataset: 0 meV per atom

a = 5.022 Å, b = 5.022 Å, c = 5.860 Å
α = 90.00°, β = 90.00°, γ = 90.00°
Fractional positions:
Sc  0.000  0.000  0.000
Re  0.500  0.500  0.500
Sb  0.000  0.500  0.500
Sb  0.500  0.000  0.500
Te  0.500  0.500  0.000


[3]
Material: ScReSbW2
Method: DFT, PBE
State: optimized geometry

Properties
Energy: -8.325 eV per atom

a = 4.853 Å, b = 4.853 Å, c = 4.983 Å
α = 90.00°, β = 90.00°, γ = 90.00°
Fractional positions:
Sc  0.000  0.000  0.000
Re  0.500  0.500  0.500
Sb  0.500  0.500  0.000
W  0.000  0.500  0.500
W  0.500  0.000  0.500


[4]
Material: ZrSc2ReSb
Method: DFT, PBE
State: optimized geometry

Properties
Energy: -7.100 eV per atom

a = 5.011 Å, b = 5.011 Å, c = 5.079 Å
α = 90.00°, β = 90.00°, γ = 90.00°
Fractional positions:
Zr  0.000  0.000  0.000
Sc  0.000  0.500  0.500
Sc  0.500  0.000  0.500
Re  0.500  0.500  0.500
Sb  0.500  0.500  0.000


[5]
Material: ReSbSe4
Method: DFT, PBE
State: optimized geometry

Properties
Energy: -3.815 eV per atom

a = 5.686 Å, b = 5.686 Å, c = 5.686 Å
α = 60.00°, β = 60.00°, γ = 60.00°
Fractional positions:
Re  0.000  0.000  0.000
Sb  0.750  0.750  0.750
Se  0.373  0.373  0.373
Se  0.373  0.373  0.880
Se  0.373  0.880  0.373
Se  0.880  0.373  0.373


[6]
Material: ReSbSe2
Method: DFT, PBE
State: optimized geometry

Properties
Energy: -5.362 eV per atom

a = 3.010 Å, b = 3.010 Å, c = 10.877 Å
α = 90.00°, β = 90.00°, γ = 118.65°
Fractional positions:
Re  0.000  0.000  0.000
Sb  0.500  0.500  0.224
Se  0.000  0.000  0.507
Se  0.500  0.500  0.821


[7]
Material: ReSb2Se
Method: DFT, PBE
State: optimized geometry

Properties
Energy: -5.349 eV per atom

a = 5.105 Å, b = 5.105 Å, c = 5.105 Å
α = 127.73°, β = 127.73°, γ = 77.06°
Fractional positions:
Re  0.000  0.000  0.000
Sb  0.250  0.750  0.500
Sb  0.750  0.250  0.500
Se  0.500  0.500  0.000


[8]
Material: ReSbSe2
Method: DFT, PBE
State: optimized geometry

Properties
Energy: -5.187 eV per atom

a = 5.487 Å, b = 4.906 Å, c = 4.603 Å
α = 70.40°, β = 57.39°, γ = 52.21°
Fractional positions:
Re  0.000  0.000  0.000
Sb  0.500  0.500  0.500
Se  0.000  0.500  0.500
Se  0.500  0.000  0.000


[9]
Material: ReSbSe2
Method: DFT, PBE
State: optimized geometry

Properties
Energy: -4.996 eV per atom

a = 3.261 Å, b = 4.665 Å, c = 5.033 Å
α = 90.00°, β = 90.00°, γ = 90.00°
Fractional positions:
Re  0.000  0.000  0.000
Sb  0.500  0.000  0.500
Se  0.000  0.500  0.500
Se  0.500  0.500  0.000


[10]
Material: ReSb2Se
Method: DFT, PBE
State: optimized geometry

Properties
Energy: -5.312 eV per atom

a = 4.859 Å, b = 4.859 Å, c = 4.859 Å
α = 60.00°, β = 60.00°, γ = 60.00°
Fractional positions:
Re  0.000  0.000  0.000
Sb  0.250  0.250  0.250
Sb  0.500  0.500  0.500
Se  0.750  0.750  0.750


[11]
Material: ReSbSe2
Method: DFT, PBE
State: optimized geometry

Properties
Energy: -5.455 eV per atom

a = 3.082 Å, b = 3.811 Å, c = 7.241 Å
α = 90.00°, β = 90.00°, γ = 90.00°
Fractional positions:
Re  0.000  0.000  0.000
Sb  0.500  0.500  0.258
Se  0.000  0.000  0.640
Se  0.500  0.500  0.860


[12]
Material: ReSb2Se
Method: DFT, PBE
State: optimized geometry

Properties
Energy: -5.691 eV per atom

a = 3.224 Å, b = 3.271 Å, c = 8.691 Å
α = 90.00°, β = 99.63°, γ = 90.00°
Fractional positions:
Re  0.000  0.000  0.000
Sb  0.414  0.500  0.808
Sb  0.586  0.500  0.192
Se  0.500  0.000  0.500


[13]
Material: ReSb2Se
Method: DFT, PBE
State: optimized geometry

Properties
Energy: -5.883 eV per atom

a = 3.287 Å, b = 5.772 Å, c = 5.772 Å
α = 55.55°, β = 90.00°, γ = 90.00°
Fractional positions:
Re  0.000  0.000  0.000
Sb  0.000  0.496  0.496
Sb  0.500  0.217  0.217
Se  0.500  0.817  0.817


[14]
Material: ReSbSe3
Method: DFT, PBE
State: optimized geometry

Properties
Excess energy over the best structure of this formula in the dataset: 0 meV per atom

a = 4.900 Å, b = 4.900 Å, c = 4.900 Å
α = 90.00°, β = 90.00°, γ = 90.00°
Fractional positions:
Re  0.000  0.000  0.000
Sb  0.500  0.500  0.500
Se  0.000  0.000  0.500
Se  0.000  0.500  0.000
Se  0.500  0.000  0.000


[15]
Material: Re3SbSe
Method: DFT, PBE
State: optimized geometry

Properties
Excess energy over the best structure of this formula in the dataset: 1048 meV per atom

a = 4.874 Å, b = 4.874 Å, c = 4.874 Å
α = 90.00°, β = 90.00°, γ = 90.00°
Fractional positions:
Re  0.000  0.000  0.500
Re  0.000  0.500  0.000
Re  0.500  0.000  0.000
Sb  0.000  0.000  0.000
Se  0.500  0.500  0.500


[16]
Material: ReSb2Se
Method: DFT, PBE
State: optimized geometry

Properties
Energy: -5.597 eV per atom

a = 6.935 Å, b = 6.935 Å, c = 6.935 Å
α = 153.00°, β = 142.73°, γ = 46.62°
Fractional positions:
Re  0.000  0.000  0.000
Sb  0.176  0.676  0.500
Sb  0.824  0.324  0.500
Se  0.500  0.500  0.000


[17]
Material: Re4SbSe
Method: DFT, PBE
State: optimized geometry

Properties
Energy: -8.573 eV per atom

a = 5.326 Å, b = 5.326 Å, c = 5.326 Å
α = 60.00°, β = 60.00°, γ = 60.00°
Fractional positions:
Re  0.125  0.125  0.125
Re  0.125  0.125  0.624
Re  0.125  0.624  0.125
Re  0.624  0.125  0.125
Sb  0.750  0.750  0.750
Se  0.500  0.500  0.500


[18]
Material: Re3SbSe
Method: DFT, PBE
State: optimized geometry

Properties
Excess energy over the best structure of this formula in the dataset: 0 meV per atom

a = 4.615 Å, b = 4.615 Å, c = 4.615 Å
α = 90.00°, β = 90.00°, γ = 90.00°
Fractional positions:
Re  0.000  0.000  0.500
Re  0.000  0.500  0.000
Re  0.500  0.000  0.000
Sb  0.500  0.500  0.500
Se  0.000  0.000  0.000


[19]
Material: ReSbSe2
Method: DFT, PBE
State: optimized geometry

Properties
Energy: -5.820 eV per atom

a = 6.481 Å, b = 6.481 Å, c = 5.881 Å
α = 111.14°, β = 111.14°, γ = 27.26°
Fractional positions:
Re  0.000  0.000  0.000
Sb  0.337  0.337  0.652
Se  0.491  0.491  0.321
Se  0.646  0.646  0.963


[20]
Material: ReSb2Se
Method: DFT, PBE
State: optimized geometry

Properties
Energy: -5.194 eV per atom

a = 3.314 Å, b = 4.808 Å, c = 5.188 Å
α = 90.00°, β = 90.00°, γ = 90.00°
Fractional positions:
Re  0.000  0.000  0.000
Sb  0.000  0.500  0.500
Sb  0.500  0.500  0.000
Se  0.500  0.000  0.500


[21]
Material: ReSb2Se
Method: DFT, PBE
State: optimized geometry

Properties
Energy: -5.706 eV per atom

a = 7.017 Å, b = 7.017 Å, c = 7.017 Å
α = 153.70°, β = 141.70°, γ = 47.06°
Fractional positions:
Re  0.000  0.000  0.000
Sb  0.199  0.699  0.500
Sb  0.545  0.545  0.000
Se  0.851  0.351  0.500


[22]
Material: ReSb2Se
Method: DFT, PBE
State: optimized geometry

Properties
Energy: -5.814 eV per atom

a = 9.438 Å, b = 9.438 Å, c = 9.438 Å
α = 20.56°, β = 20.56°, γ = 20.56°
Fractional positions:
Re  0.000  0.000  0.000
Sb  0.498  0.498  0.498
Sb  0.739  0.739  0.739
Se  0.277  0.277  0.277


[23]
Material: ReSb2Se
Method: DFT, PBE
State: optimized geometry

Properties
Energy: -5.278 eV per atom

a = 5.008 Å, b = 5.008 Å, c = 3.336 Å
α = 90.00°, β = 90.00°, γ = 103.18°
Fractional positions:
Re  0.000  0.000  0.000
Sb  0.000  0.500  0.500
Sb  0.500  0.000  0.500
Se  0.500  0.500  0.000


[24]
Material: ReSb2Se
Method: DFT, PBE
State: optimized geometry

Properties
Energy: -5.364 eV per atom

a = 5.052 Å, b = 5.052 Å, c = 3.451 Å
α = 99.91°, β = 99.91°, γ = 101.82°
Fractional positions:
Re  0.000  0.000  0.000
Sb  0.000  0.500  0.500
Sb  0.500  0.000  0.500
Se  0.500  0.500  0.000


[25]
Material: ReSbSe2
Method: DFT, PBE
State: optimized geometry

Properties
Energy: -5.718 eV per atom

a = 8.923 Å, b = 8.923 Å, c = 8.923 Å
α = 22.36°, β = 22.36°, γ = 22.36°
Fractional positions:
Re  0.000  0.000  0.000
Sb  0.255  0.255  0.255
Se  0.517  0.517  0.517
Se  0.724  0.724  0.724


[26]
Material: ReSb2Se
Method: DFT, PBE
State: optimized geometry

Properties
Energy: -5.558 eV per atom

a = 4.532 Å, b = 3.366 Å, c = 5.620 Å
α = 90.00°, β = 90.07°, γ = 90.00°
Fractional positions:
Re  0.000  0.000  0.000
Sb  0.000  0.000  0.500
Sb  0.500  0.500  0.000
Se  0.500  0.500  0.500


[27]
Material: ReSb2Se
Method: DFT, PBE
State: optimized geometry

Properties
Energy: -5.514 eV per atom

a = 3.147 Å, b = 3.147 Å, c = 11.339 Å
α = 90.00°, β = 90.00°, γ = 121.36°
Fractional positions:
Re  0.000  0.000  0.000
Sb  0.000  0.000  0.513
Sb  0.500  0.500  0.212
Se  0.500  0.500  0.833


[28]
Material: ReSbSe2
Method: DFT, PBE
State: optimized geometry

Properties
Energy: -5.468 eV per atom

a = 3.196 Å, b = 4.682 Å, c = 6.350 Å
α = 90.00°, β = 103.26°, γ = 90.00°
Fractional positions:
Re  0.000  0.000  0.000
Sb  0.865  0.500  0.715
Se  0.072  0.500  0.153
Se  0.642  0.000  0.309


[29]
Material: ReSbSe2
Method: DFT, PBE
State: optimized geometry

Properties
Energy: -5.700 eV per atom

a = 3.033 Å, b = 3.033 Å, c = 10.135 Å
α = 90.00°, β = 90.00°, γ = 90.00°
Fractional positions:
Re  0.000  0.000  0.000
Sb  0.000  0.000  0.500
Se  0.500  0.500  0.155
Se  0.500  0.500  0.845


[30]
Material: ReSbSe2
Method: DFT, PBE
State: optimized geometry

Properties
Energy: -5.372 eV per atom

a = 6.745 Å, b = 6.745 Å, c = 6.745 Å
α = 121.03°, β = 121.03°, γ = 88.22°
Fractional positions:
Re  0.000  0.000  0.000
Re  0.750  0.250  0.500
Sb  0.250  0.750  0.500
Sb  0.500  0.500  0.000
Se  0.058  0.625  0.933
Se  0.375  0.308  0.433
Se  0.692  0.125  0.067
Se  0.875  0.942  0.567


| no. | total magnetization (μB per atom) |
| --- | --- |
| 1 | 0.000 |
| 2 | 0.000 |
| 3 | 0.002 |
| 4 | 0.250 |
| 5 | 0.598 |
| 6 | 0.000 |
| 7 | 0.000 |
| 8 | 0.131 |
| 9 | 0.008 |
| 10 | 0.000 |
| 11 | 0.000 |
| 12 | 0.000 |
| 13 | 0.000 |
| 14 | 0.000 |
| 15 | 0.417 |
| 16 | 0.000 |
| 17 | 0.000 |
| 18 | 0.315 |
| 19 | 0.000 |
| 20 | 0.000 |
| 21 | 0.000 |
| 22 | 0.000 |
| 23 | 0.001 |
| 24 | 0.000 |
| 25 | 0.000 |
| 26 | 0.022 |
| 27 | 0.000 |
| 28 | 0.000 |
| 29 | 0.000 |
| 30 | 0.000 |